Entry from Alexandria: a geometry-optimized Li2CaPt structure (PBE).

E_form = -0.45 eV per atom

Unit cell a=5.4363 b=5.4363 c=4.4751 alpha=62.32 beta=62.32 gamma=41.24
Last column: nearest neighbours and their distance in Å.
Fractional coordinates of all 4 atoms:
1 Ca 0.2500 0.2500 0.2500  4 Pt 2.94, 8 Li 2.96-3.09
2 Pt 0.7500 0.7500 0.7500  4 Li 2.77, 4 Ca 2.94
3 Li 0.0234 0.0234 0.9929  2 Pt 2.77, 2 Li 2.85, 4 Ca 2.96-3.09
4 Li 0.4766 0.4766 0.5071  2 Pt 2.77, 2 Li 2.85, 4 Ca 2.96-3.09

Entry from Alexandria: a geometry-optimized Li2CaPt structure (PBE).

E_form = -0.35 eV per atom

Unit cell a=4.7212 b=3.2433 c=5.1151 alpha=83.78 beta=90.00 gamma=90.00
Last column: nearest neighbours and their distance in Å.
Fractional coordinates of all 4 atoms:
1 Ca 0.5000 0.7500 0.7500  4 Pt 2.88-3.17, 4 Li 3.04
2 Li 0.0000 0.0333 0.0589  2 Li 2.53, 2 Pt 2.68
3 Li 0.0000 0.4667 0.4411  2 Li 2.53, 2 Pt 2.68
4 Pt 0.5000 0.2500 0.2500  4 Li 2.68, 2 Ca 2.88

Entry from Alexandria: a geometry-optimized Li4Ca2Pt5 structure (PBE).

E_form = -0.63 eV per atom

Unit cell a=5.3842 b=5.3842 c=8.1623 alpha=100.12 beta=100.12 gamma=117.86
Last column: nearest neighbours and their distance in Å.
Fractional coordinates of all 11 atoms:
1 Li 0.4701 0.7905 0.2607  5 Pt 2.45-2.57
2 Li 0.5299 0.2095 0.7393  5 Pt 2.45-2.57
3 Li 0.2095 0.5299 0.7393  5 Pt 2.45-2.57
4 Li 0.7905 0.4701 0.2607  5 Pt 2.45-2.57
5 Ca 0.8750 0.8750 0.7500  6 Li 3.14-3.15, 10 Pt 3.31-3.38
6 Ca 0.1250 0.1250 0.2500  6 Li 3.14-3.15, 10 Pt 3.31-3.38
7 Pt 0.5000 0.5000 0.0000  4 Li 2.49, 4 Pt 2.69
8 Pt 0.5000 0.0000 0.0000  4 Li 2.57, 4 Pt 2.69-2.78
9 Pt 0.0000 0.5000 0.0000  4 Li 2.57, 4 Pt 2.69-2.78
10 Pt 0.7500 0.2500 0.5000  4 Li 2.45
11 Pt 0.2500 0.7500 0.5000  4 Li 2.45

Entry from Alexandria: a geometry-optimized LiCaPt structure (PBE).

E_form = -0.68 eV per atom

Unit cell a=4.0564 b=4.0564 c=7.9466 alpha=104.79 beta=104.79 gamma=90.00
Last column: nearest neighbours and their distance in Å.
Fractional coordinates of all 6 atoms:
1 Li 0.5000 0.0000 0.0000  4 Pt 2.64, 4 Li 2.87
2 Li 0.0000 0.5000 0.0000  4 Pt 2.64, 4 Li 2.87
3 Ca 0.6750 0.6750 0.3501  5 Pt 3.01-3.12, 4 Li 3.29
4 Ca 0.3250 0.3250 0.6499  5 Pt 3.01-3.12, 4 Li 3.29
5 Pt 0.1144 0.1144 0.2288  4 Li 2.64
6 Pt 0.8856 0.8856 0.7712  4 Li 2.64

Entry from Alexandria: a geometry-optimized Li2CaPt structure (PBE).

E_form = -0.50 eV per atom

Unit cell a=4.4002 b=4.4002 c=5.4626 alpha=66.29 beta=66.29 gamma=59.97
Last column: nearest neighbours and their distance in Å.
Fractional coordinates of all 4 atoms:
1 Ca 0.2429 0.2429 0.2718  4 Li 2.89-3.20, 4 Pt 3.03-3.12
2 Pt 0.4517 0.4517 0.6445  6 Li 2.56-2.76
3 Li 0.0437 0.0437 0.8692  3 Li 2.65, 3 Pt 2.76, 1 Ca 2.89
4 Li 0.7617 0.7617 0.7146  3 Pt 2.56, 3 Li 2.65

Entry from Alexandria: a geometry-optimized LiCaPt structure (PBE).

E_form = -0.67 eV per atom

Unit cell a=5.6095 b=6.1691 c=7.8308 alpha=112.27 beta=90.00 gamma=90.00
Last column: nearest neighbours and their distance in Å.
Fractional coordinates of all 12 atoms:
1 Ca 0.8829 0.8206 0.1311  5 Pt 2.98-3.13, 3 Li 3.20-3.28
2 Ca 0.6171 0.8206 0.6311  5 Pt 2.98-3.13, 3 Li 3.20-3.28
3 Ca 0.1171 0.1794 0.8689  5 Pt 2.98-3.13, 3 Li 3.20-3.28
4 Ca 0.3829 0.1794 0.3689  5 Pt 2.98-3.13, 3 Li 3.20-3.28
5 Pt 0.3679 0.8070 0.9730  3 Li 2.58-2.61, 1 Pt 2.70
6 Pt 0.6321 0.1930 0.0270  3 Li 2.58-2.61, 1 Pt 2.70
7 Pt 0.8679 0.1930 0.5270  3 Li 2.58-2.61, 1 Pt 2.70
8 Pt 0.1321 0.8070 0.4730  3 Li 2.58-2.61, 1 Pt 2.70
9 Li 0.3969 0.5821 0.1911  3 Pt 2.58-2.61
10 Li 0.6031 0.4179 0.8089  3 Pt 2.58-2.61
11 Li 0.1031 0.5821 0.6911  3 Pt 2.58-2.61
12 Li 0.8969 0.4179 0.3089  3 Pt 2.58-2.61

Entry from Alexandria: a geometry-optimized Li3Ca2Pt2 structure (PBE).

E_form = -0.59 eV per atom

Unit cell a=4.2129 b=5.5303 c=7.2906 alpha=68.33 beta=73.21 gamma=67.61
Last column: nearest neighbours and their distance in Å.
Fractional coordinates of all 7 atoms:
1 Li 0.5000 0.0000 0.0000  4 Pt 2.61, 2 Li 2.89
2 Li 0.3473 0.8740 0.4313  3 Pt 2.69-2.72, 3 Li 2.78-2.89
3 Li 0.6527 0.1260 0.5687  3 Pt 2.69-2.72, 3 Li 2.78-2.89
4 Ca 0.1425 0.4997 0.2152  4 Pt 2.99-3.00, 4 Li 3.11-3.32
5 Ca 0.8575 0.5003 0.7848  4 Pt 2.99-3.00, 4 Li 3.11-3.32
6 Pt 0.1421 0.9073 0.8085  5 Li 2.61-2.72
7 Pt 0.8579 0.0927 0.1915  5 Li 2.61-2.72

Entry from Alexandria: a geometry-optimized LiCaPt structure (PBE).

E_form = -0.60 eV per atom

Unit cell a=4.3291 b=4.3291 c=3.8074 alpha=90.00 beta=90.00 gamma=120.00
Last column: nearest neighbours and their distance in Å.
Fractional coordinates of all 3 atoms:
1 Ca 0.0000 0.0000 0.0000  6 Li 3.14, 6 Pt 3.14
2 Pt 0.3333 0.6667 0.4995  3 Li 2.50
3 Li 0.6667 0.3333 0.5006  3 Pt 2.50

Entry from Alexandria: a geometry-optimized LiCa4Pt3 structure (PBE).

E_form = -0.73 eV per atom

Unit cell a=4.9995 b=4.9995 c=7.9772 alpha=108.28 beta=108.28 gamma=90.04
Last column: nearest neighbours and their distance in Å.
Fractional coordinates of all 8 atoms:
1 Ca 0.3688 0.3686 0.7372  6 Pt 2.96-3.13, 2 Li 3.13
2 Ca 0.6312 0.6314 0.2628  6 Pt 2.96-3.13, 2 Li 3.13
3 Ca 0.1314 0.1312 0.2628  6 Pt 2.96-3.13, 2 Li 3.13
4 Ca 0.8686 0.8688 0.7372  6 Pt 2.96-3.13, 2 Li 3.13
5 Pt 0.0000 0.5000 0.0000  8 Ca 3.13
6 Pt 0.7420 0.2421 0.4837  8 Ca 2.96-3.09
7 Pt 0.2580 0.7579 0.5163  8 Ca 2.96-3.09
8 Li 0.5000 0.0000 0.0000  8 Ca 3.13, 2 Pt 3.46

Entry from Alexandria: a geometry-optimized LiCa4Pt structure (PBE).

E_form = 0.44 eV per atom
Energy above the most stable polymorph in this dataset = 805.6 meV/atom

Unit cell a=6.4796 b=6.4796 c=6.4796 alpha=60.00 beta=60.00 gamma=60.00
Last column: nearest neighbours and their distance in Å.
Fractional coordinates of all 6 atoms:
1 Li 0.7500 0.7500 0.7500  12 Ca 3.80, 4 Pt 3.97
2 Ca 0.8780 0.3740 0.3740  6 Ca 3.21-3.27
3 Ca 0.3740 0.3740 0.8780  6 Ca 3.21-3.27
4 Ca 0.3740 0.8780 0.3740  6 Ca 3.21-3.27
5 Ca 0.3740 0.3740 0.3740  6 Ca 3.21-3.27
6 Pt 0.0000 0.0000 0.0000  12 Ca 3.80, 4 Li 3.97

Entry from Alexandria: a geometry-optimized Li2Ca3Pt7 structure (PBE).

E_form = -0.82 eV per atom

Unit cell a=5.4447 b=5.4447 c=9.0688 alpha=72.53 beta=72.53 gamma=60.00
Last column: nearest neighbours and their distance in Å.
Fractional coordinates of all 12 atoms:
1 Li 0.6648 0.6648 0.0056  6 Pt 2.57-2.62
2 Li 0.3352 0.3352 0.9944  6 Pt 2.57-2.62
3 Ca 0.0000 0.0000 0.0000  6 Li 3.14, 12 Pt 3.41
4 Ca 0.8598 0.8598 0.4207  12 Pt 3.12-3.26, 3 Ca 3.42
5 Ca 0.1402 0.1402 0.5793  12 Pt 3.12-3.26, 3 Ca 3.42
6 Pt 0.5000 0.5000 0.5000  6 Pt 2.71
7 Pt 0.9237 0.4170 0.2423  2 Li 2.57-2.62, 5 Pt 2.69-2.76
8 Pt 0.4170 0.9237 0.2423  2 Li 2.57-2.62, 5 Pt 2.69-2.76
9 Pt 0.4170 0.4170 0.2423  2 Li 2.57-2.62, 5 Pt 2.69-2.76
10 Pt 0.0763 0.5830 0.7577  2 Li 2.57-2.62, 5 Pt 2.69-2.76
11 Pt 0.5830 0.5830 0.7577  2 Li 2.57-2.62, 5 Pt 2.69-2.76
12 Pt 0.5830 0.0763 0.7577  2 Li 2.57-2.62, 5 Pt 2.69-2.76

Entry from Alexandria: a geometry-optimized LiCaPt4 structure (PBE).

E_form = -0.75 eV per atom

Unit cell a=5.3579 b=5.3579 c=5.3579 alpha=60.00 beta=60.00 gamma=60.00
Last column: nearest neighbours and their distance in Å.
Fractional coordinates of all 6 atoms:
1 Ca 0.2500 0.2500 0.2500  12 Pt 3.14, 4 Li 3.28
2 Li 0.0000 0.0000 0.0000  12 Pt 3.14, 4 Ca 3.28
3 Pt 0.1242 0.6253 0.6253  6 Pt 2.67-2.68
4 Pt 0.6253 0.6253 0.6253  6 Pt 2.67-2.68
5 Pt 0.6253 0.1242 0.6253  6 Pt 2.67-2.68
6 Pt 0.6253 0.6253 0.1242  6 Pt 2.67-2.68

Entry from Alexandria: a geometry-optimized LiCaPuPt structure (PBE).

E_form = -0.37 eV per atom

Unit cell a=5.0171 b=5.0171 c=5.0171 alpha=60.00 beta=60.00 gamma=60.00
Last column: nearest neighbours and their distance in Å.
Fractional coordinates of all 4 atoms:
1 Ca 0.0000 0.0000 0.0000  4 Li 3.07, 4 Pt 3.07
2 Li 0.7500 0.7500 0.7500  4 Ca 3.07, 4 Pu 3.07
3 Pt 0.2500 0.2500 0.2500  4 Pu 3.07, 4 Ca 3.07
4 Pu 0.5000 0.5000 0.5000  4 Li 3.07, 4 Pt 3.07

Entry from Alexandria: a geometry-optimized Li2CaPuPt2 structure (PBE).

E_form = -0.58 eV per atom

Unit cell a=4.4014 b=4.4014 c=7.1167 alpha=90.00 beta=90.00 gamma=120.00
Last column: nearest neighbours and their distance in Å.
Fractional coordinates of all 6 atoms:
1 Li 0.3333 0.6667 0.7387  3 Pt 2.56
2 Li 0.6667 0.3333 0.2613  3 Pt 2.56
3 Ca 0.0000 0.0000 0.5000  6 Li 3.06, 6 Pt 3.25
4 Pu 0.0000 0.0000 0.0000  6 Pt 2.97, 6 Li 3.15
5 Pt 0.3333 0.6667 0.2157  3 Li 2.56
6 Pt 0.6667 0.3333 0.7843  3 Li 2.56

Entry from Alexandria: a geometry-optimized RbLiCa2Pt structure (PBE).

E_form = -0.26 eV per atom

Unit cell a=5.6513 b=5.6513 c=5.5604 alpha=90.00 beta=90.00 gamma=90.00
Last column: nearest neighbours and their distance in Å.
Fractional coordinates of all 5 atoms:
1 Ca 0.0000 0.5000 0.0000  2 Pt 2.83
2 Ca 0.5000 0.0000 0.0000  2 Pt 2.83
3 Rb 0.5000 0.5000 0.5000  8 Ca 3.96, 4 Li 4.00
4 Pt 0.0000 0.0000 0.0000  2 Li 2.78, 4 Ca 2.83
5 Li 0.0000 0.0000 0.5000  2 Pt 2.78

Entry from Alexandria: a geometry-optimized RbLi2CaPt structure (PBE).

E_form = -0.17 eV per atom

Unit cell a=5.3485 b=5.3485 c=5.4442 alpha=90.00 beta=90.00 gamma=90.00
Last column: nearest neighbours and their distance in Å.
Fractional coordinates of all 5 atoms:
1 Ca 0.0000 0.0000 0.5000  2 Pt 2.72
2 Rb 0.5000 0.5000 0.5000  4 Ca 3.78, 8 Li 3.82
3 Pt 0.0000 0.0000 0.0000  4 Li 2.67, 2 Ca 2.72
4 Li 0.0000 0.5000 0.0000  2 Pt 2.67
5 Li 0.5000 0.0000 0.0000  2 Pt 2.67

Entry from Alexandria: a geometry-optimized LiCaSbPt structure (PBE).

Formation energy without anion corrections = -0.7706 eV/atom

Unit cell a=4.7903 b=4.7903 c=4.7903 alpha=60.00 beta=60.00 gamma=60.00
Last column: nearest neighbours and their distance in Å.
Fractional coordinates of all 4 atoms:
1 Sb 0.0000 0.0000 0.0000  4 Li 2.93, 4 Pt 2.93
2 Ca 0.5000 0.5000 0.5000  4 Pt 2.93, 4 Li 2.93
3 Pt 0.7500 0.7500 0.7500  4 Ca 2.93, 4 Sb 2.93
4 Li 0.2500 0.2500 0.2500  4 Ca 2.93, 4 Sb 2.93

Entry from Alexandria: a geometry-optimized LiCa2Sb4Pt3 structure (PBE).

Formation energy without anion corrections = -0.7329 eV/atom

Unit cell a=4.5435 b=4.5435 c=11.2296 alpha=90.00 beta=90.00 gamma=90.00
Last column: nearest neighbours and their distance in Å.
Fractional coordinates of all 10 atoms:
1 Li 0.5000 0.5000 0.5000  4 Sb 2.72
2 Ca 0.5000 0.0000 0.2659  8 Sb 3.40-3.75, 2 Li 3.47, 6 Pt 3.47-3.55
3 Ca 0.0000 0.5000 0.7341  8 Sb 3.40-3.75, 2 Li 3.47, 6 Pt 3.47-3.55
4 Sb 0.5000 0.5000 0.0000  4 Pt 2.71
5 Sb 0.0000 0.0000 0.0000  4 Pt 2.71
6 Sb 0.5000 0.0000 0.6340  3 Pt 2.63-2.72, 2 Li 2.72
7 Sb 0.0000 0.5000 0.3660  3 Pt 2.63-2.72, 2 Li 2.72
8 Pt 0.0000 0.0000 0.5000  4 Sb 2.72
9 Pt 0.5000 0.0000 0.8678  5 Sb 2.63-2.71
10 Pt 0.0000 0.5000 0.1322  5 Sb 2.63-2.71

Entry from Alexandria: a geometry-optimized LiCa2Sb3Pt4 structure (PBE).

Formation energy without anion corrections = -0.7765 eV/atom

Unit cell a=4.5340 b=4.5340 c=10.6490 alpha=90.00 beta=90.00 gamma=90.00
Last column: nearest neighbours and their distance in Å.
Fractional coordinates of all 10 atoms:
1 Li 0.5000 0.5000 0.5000  4 Pt 2.64
2 Ca 0.5000 0.0000 0.2477  6 Sb 3.43-3.52, 8 Pt 3.48, 2 Li 3.52
3 Ca 0.0000 0.5000 0.7523  6 Sb 3.43-3.52, 8 Pt 3.48, 2 Li 3.52
4 Sb 0.0000 0.0000 0.5000  4 Pt 2.64
5 Sb 0.5000 0.0000 0.8666  5 Pt 2.56-2.68
6 Sb 0.0000 0.5000 0.1334  5 Pt 2.56-2.68
7 Pt 0.5000 0.5000 0.0000  4 Sb 2.68
8 Pt 0.0000 0.0000 0.0000  4 Sb 2.68
9 Pt 0.5000 0.0000 0.6263  3 Sb 2.56-2.64, 2 Li 2.64
10 Pt 0.0000 0.5000 0.3737  3 Sb 2.56-2.64, 2 Li 2.64

Entry from Alexandria: a geometry-optimized LiCa2ScPt structure (PBE).

E_form = -0.06 eV per atom

Unit cell a=5.5103 b=4.8477 c=5.5103 alpha=90.00 beta=90.00 gamma=90.00
Last column: nearest neighbours and their distance in Å.
Fractional coordinates of all 5 atoms:
1 Sc 0.5000 0.5000 0.5000  8 Ca 3.67, 4 Li 3.90
2 Ca 0.0000 0.0000 0.5000  2 Pt 2.76
3 Ca 0.5000 0.0000 0.0000  2 Pt 2.76
4 Pt 0.0000 0.0000 0.0000  2 Li 2.42
5 Li 0.0000 0.5000 0.0000  2 Pt 2.42